Entry 1:
First-principles (GGA-PBE) data for crystalline H2W at its relaxed geometry, as listed in OQMD via LeMat-Bulk.

a = 3.883 Å, b = 3.883 Å, c = 3.107 Å
α = 90.00°, β = 90.00°, γ = 90.00°
Fractional positions:
H1 0.172 0.172 0.000
H2 0.328 0.672 0.500
H3 0.672 0.328 0.500
H4 0.828 0.828 0.000
W1 0.000 0.000 0.500
W2 0.500 0.500 0.000

Output
Energy above the most stable polymorph in this dataset in meV per atom: 241

Entry 2:
First-principles (GGA-PBE) data for crystalline H2W at its relaxed geometry, as listed in OQMD via LeMat-Bulk.

a = 4.130 Å, b = 4.130 Å, c = 4.130 Å
α = 60.00°, β = 60.00°, γ = 60.00°
Fractional positions:
H1 0.000 0.000 0.000
H2 0.000 0.000 0.500
H3 0.000 0.500 0.000
H4 0.500 0.000 0.000
W1 0.375 0.375 0.375
W2 0.625 0.625 0.625

Output
Energy above the most stable polymorph in this dataset in meV per atom: 640

Entry 3:
First-principles (GGA-PBE) data for crystalline HW at its relaxed geometry, as listed in OQMD via LeMat-Bulk.

a = 2.772 Å, b = 2.772 Å, c = 2.945 Å
α = 90.00°, β = 90.00°, γ = 120.00°
Fractional positions:
H1 0.000 0.000 0.000
W1 0.667 0.333 0.500

Output
Energy above the most stable polymorph in this dataset in meV per atom: 645

Entry 4:
First-principles (GGA-PBE) data for crystalline H2W at its relaxed geometry, as listed in OQMD via LeMat-Bulk.

a = 5.041 Å, b = 3.098 Å, c = 5.325 Å
α = 90.00°, β = 90.00°, γ = 90.00°
Fractional positions:
H1 0.026 0.250 0.167
H2 0.111 0.750 0.426
H3 0.389 0.250 0.926
H4 0.474 0.750 0.667
H5 0.526 0.250 0.333
H6 0.611 0.750 0.074
H7 0.889 0.250 0.574
H8 0.974 0.750 0.833
W1 0.229 0.750 0.086
W2 0.271 0.250 0.586
W3 0.729 0.750 0.414
W4 0.771 0.250 0.914

Output
Energy above the most stable polymorph in this dataset in meV per atom: 0

Entry 5:
First-principles (GGA-PBE) data for crystalline HW at its relaxed geometry, as listed in OQMD via LeMat-Bulk.

a = 2.999 Å, b = 2.999 Å, c = 2.999 Å
α = 60.00°, β = 60.00°, γ = 60.00°
Fractional positions:
H1 0.000 0.000 0.000
W1 0.750 0.750 0.750

Output
Energy above the most stable polymorph in this dataset in meV per atom: 159

Entry 6:
First-principles (GGA-PBE) data for crystalline HW at its relaxed geometry, as listed in OQMD via LeMat-Bulk.

a = 2.943 Å, b = 2.943 Å, c = 4.750 Å
α = 90.00°, β = 90.00°, γ = 120.00°
Fractional positions:
H1 0.000 0.000 0.000
H2 0.000 0.000 0.500
W1 0.333 0.667 0.250
W2 0.667 0.333 0.750

Output
Energy above the most stable polymorph in this dataset in meV per atom: 0

Entry 7:
First-principles (GGA-PBE) data for crystalline HW at its relaxed geometry, as listed in OQMD via LeMat-Bulk.

a = 2.935 Å, b = 2.935 Å, c = 2.935 Å
α = 60.00°, β = 60.00°, γ = 60.00°
Fractional positions:
H1 0.000 0.000 0.000
W1 0.500 0.500 0.500

Output
Energy above the most stable polymorph in this dataset in meV per atom: 87

Entry 8:
First-principles (GGA-PBE) data for crystalline H5W at its relaxed geometry, as listed in OQMD via LeMat-Bulk.

a = 6.097 Å, b = 3.484 Å, c = 3.035 Å
α = 90.00°, β = 90.00°, γ = 90.00°
Fractional positions:
H1 0.074 0.220 0.000
H2 0.100 0.797 0.499
H3 0.250 0.333 0.504
H4 0.400 0.797 0.499
H5 0.426 0.220 0.000
H6 0.574 0.780 0.000
H7 0.600 0.203 0.499
H8 0.750 0.667 0.504
H9 0.900 0.203 0.499
H10 0.926 0.780 0.000
W1 0.250 0.639 0.979
W2 0.750 0.361 0.979

Output
E_tot in eV for the cell shown: -55.57

Entry 9:
First-principles (GGA-PBE) data for crystalline Zn5H at its relaxed geometry, as listed in OQMD via LeMat-Bulk.

a = 5.064 Å, b = 5.064 Å, c = 4.267 Å
α = 90.00°, β = 90.00°, γ = 120.00°
Fractional positions:
Zn1 0.000 0.500 0.000
Zn2 0.333 0.667 0.500
Zn3 0.500 0.000 0.000
Zn4 0.500 0.500 0.000
Zn5 0.667 0.333 0.500
H1 0.000 0.000 0.500

Output
E_tot in eV for the cell shown: -6.96

Entry 10:
First-principles (GGA-PBE) data for crystalline ZnH6 at its relaxed geometry, as listed in OQMD via LeMat-Bulk.

a = 2.707 Å, b = 4.805 Å, c = 5.289 Å
α = 107.34°, β = 102.28°, γ = 99.83°
Fractional positions:
Zn1 0.000 0.000 0.000
H1 0.025 0.344 0.729
H2 0.175 0.805 0.350
H3 0.495 0.249 0.206
H4 0.505 0.751 0.794
H5 0.825 0.195 0.650
H6 0.975 0.656 0.271

Output
E_tot in eV for the cell shown: -20.27

Entry 11:
First-principles (GGA-PBE) data for crystalline ZrH2 at its relaxed geometry, as listed in OQMD via LeMat-Bulk.

a = 3.381 Å, b = 3.381 Å, c = 3.381 Å
α = 60.00°, β = 60.00°, γ = 60.00°
Fractional positions:
Zr1 0.000 0.000 0.000
H1 0.250 0.250 0.250
H2 0.750 0.750 0.750

Output
E_tot in eV for the cell shown: -16.96

Entry 12:
First-principles (GGA-PBE) data for crystalline ZrH2 at its relaxed geometry, as listed in OQMD via LeMat-Bulk.

a = 5.964 Å, b = 5.964 Å, c = 5.964 Å
α = 60.00°, β = 60.00°, γ = 60.00°
Fractional positions:
Zr1 0.125 0.125 0.125
Zr2 0.875 0.875 0.875
H1 0.000 0.000 0.000
H2 0.000 0.000 0.500
H3 0.000 0.500 0.000
H4 0.500 0.000 0.000

Output
E_tot in eV for the cell shown: -27.08

Please write out number 10 again, unchanged.
First-principles (GGA-PBE) data for crystalline ZnH6 at its relaxed geometry, as listed in OQMD via LeMat-Bulk.

a = 2.707 Å, b = 4.805 Å, c = 5.289 Å
α = 107.34°, β = 102.28°, γ = 99.83°
Fractional positions:
Zn1 0.000 0.000 0.000
H1 0.025 0.344 0.729
H2 0.175 0.805 0.350
H3 0.495 0.249 0.206
H4 0.505 0.751 0.794
H5 0.825 0.195 0.650
H6 0.975 0.656 0.271

Output
E_tot in eV for the cell shown: -20.27